# 1
6
Lattice="5.401 0.000 0.000 2.700 4.677 0.000 2.700 1.559 4.410" Properties=species:S:1:pos:R:3 comment="SrTmIr4 GGA-PBE optimized geometry" dos_ef_per_ev_cell=7.2 ef_ev_per_atom=-0.5172 pbc="T T T"
Sr 2.700 1.559 1.102
Ir 5.401 3.118 0.548
Ir 5.401 1.557 2.757
Ir 6.753 3.899 2.757
Ir 4.048 3.899 2.757
Tm 0.000 0.000 0.000

# 2
12
Lattice="0.071 -4.939 2.050 4.146 -3.237 -0.967 5.408 0.280 7.464" Properties=species:S:1:pos:R:3 comment="SrTm2Ir9 GGA-PBE optimized geometry" dos_ef_per_ev_cell=14.5 ef_ev_per_atom=-0.4606 pbc="T T T"
Sr 0.000 0.000 0.000
Tm 5.887 -6.922 4.046
Tm 3.739 -0.974 4.500
Ir 8.218 -5.173 8.181
Ir 1.408 -2.724 0.365
Ir 4.813 -3.948 4.273
Ir 3.107 -3.333 2.316
Ir 3.143 -5.810 3.343
Ir 5.186 -4.956 1.831
Ir 6.519 -4.563 6.231
Ir 4.440 -2.940 6.715
Ir 6.483 -2.086 5.203

# 3
5
Lattice="-4.557 2.984 0.219 -2.591 -4.136 2.428 1.495 1.925 4.875" Properties=species:S:1:pos:R:3 comment="SrTm3Ir GGA-PBE optimized geometry" dos_ef_per_ev_cell=5.0 ef_ev_per_atom=-0.3619 pbc="T T T"
Sr -2.826 0.387 3.761
Ir 0.000 0.000 0.000
Tm -1.296 -2.068 1.214
Tm 0.748 0.963 2.438
Tm -2.278 1.492 0.110

# 4
4
Lattice="3.437 0.000 0.000 0.000 3.437 0.000 0.000 0.000 7.527" Properties=species:S:1:pos:R:3 comment="SrUIr2 GGA-PBE optimized geometry" dos_ef_per_ev_cell=4.1 ef_ev_per_atom=-0.3961 pbc="T T T"
Sr 1.719 1.719 3.763
Ir 0.000 0.000 6.047
Ir 0.000 0.000 1.480
U 1.719 1.719 0.000